No. 1
Compound: MgZrW3
Source: Alexandria
Functional: PBE
Structure: optimized geometry

Computed properties:
Its space group is Pm-3m (221). Its size of the total moment is 0.000 Bohr magnetons per cell. Its formation energy is 2062.8 meV/atom.

abc: 4.6208 4.6208 4.6208
angles: 90.00 90.00 90.00
Fractional positions:
Zr 0.5000 0.5000 0.5000
Mg 0.0000 0.0000 0.0000
W 0.5000 0.0000 0.0000
W 0.0000 0.0000 0.5000
W 0.0000 0.5000 0.0000

---

No. 2
Compound: CaLa2Dy2Mg5
Source: Alexandria
Functional: PBE
Structure: optimized geometry

Computed properties:
Its space group is P4/mbm (127). Its size of the total moment is 0.000 Bohr magnetons per cell. Its formation energy is 1.0 meV/atom.

abc: 5.1026 10.7959 10.7959
angles: 90.00 90.00 90.00
Fractional positions:
Mg 0.5000 0.0710 0.7986
Mg 0.5000 0.5710 0.7014
La 0.0000 0.8256 0.6744
Mg 0.5000 0.0000 0.5000
Mg 0.5000 0.2014 0.0710
La 0.0000 0.1744 0.3256
Ca 0.0000 0.0000 0.0000
Dy 0.0000 0.1200 0.6200
La 0.0000 0.3256 0.8256
Dy 0.0000 0.8800 0.3800
Dy 0.0000 0.6200 0.8800
Mg 0.5000 0.2986 0.5710
Dy 0.0000 0.3800 0.1200
Ca 0.0000 0.5000 0.5000
Mg 0.5000 0.5000 0.0000
Mg 0.5000 0.7014 0.4290
Mg 0.5000 0.4290 0.2986
La 0.0000 0.6744 0.1744
Mg 0.5000 0.7986 0.9290
Mg 0.5000 0.9290 0.2014

---

No. 3
Compound: Pm4TmIn5
Source: Alexandria
Functional: PBE
Structure: optimized geometry

Computed properties:
Its space group is P4/mmm (123). Its size of the total moment is 0.000 Bohr magnetons per cell. Its formation energy is -484.2 meV/atom.

abc: 3.8032 3.8032 19.3191
angles: 90.00 90.00 90.00
Fractional positions:
Tm 0.0000 0.0000 0.0000
In 0.5000 0.5000 0.7042
Pm 0.0000 0.0000 0.8062
In 0.5000 0.5000 0.9088
In 0.5000 0.5000 0.2958
Pm 0.0000 0.0000 0.6020
Pm 0.0000 0.0000 0.1938
Pm 0.0000 0.0000 0.3980
In 0.5000 0.5000 0.5000
In 0.5000 0.5000 0.0912

---

No. 4
Compound: Mn2IrRh
Source: Alexandria
Functional: PBE
Structure: optimized geometry

Computed properties:
Its space group is Fmmm (69). Its size of the total moment is 2.819 Bohr magnetons per cell. Its formation energy is -85.0 meV/atom.

abc: 4.5217 4.5217 4.5191
angles: 130.91 130.92 71.99
Each line ends with the local moment (μB).
Fractional positions:
Ir 0.7500 0.2500 0.5000  -0.19
Mn 0.0000 0.0000 0.0000  1.55
Mn 0.5000 0.5000 0.0000  1.55
Rh 0.2500 0.7500 0.5000  -0.17

---

No. 5
Compound: Ta6TcW5
Source: Alexandria
Functional: PBE
Structure: optimized geometry

Computed properties:
Its space group is Immm (71). Its size of the total moment is 0.000 Bohr magnetons per cell. Its formation energy is -173.3 meV/atom.

abc: 4.5621 6.4718 7.9223
angles: 114.11 106.73 90.00
Fractional positions:
Ta 0.1658 0.9169 0.3315
Ta 0.5000 0.2480 0.0000
W 0.0000 0.5000 0.0000
Ta 0.1658 0.4146 0.3315
Ta 0.5000 0.7520 0.0000
Tc 0.0000 0.0000 0.0000
W 0.6661 0.6661 0.3322
Ta 0.8342 0.0831 0.6685
W 0.3328 0.8328 0.6655
Ta 0.8342 0.5854 0.6685
W 0.6672 0.1672 0.3345
W 0.3339 0.3339 0.6678

---

No. 6
Compound: TbPm2NdTm5
Source: Alexandria
Functional: PBE
Structure: optimized geometry

Computed properties:
Its space group is I4/mcm (140). Its size of the total moment is 0.000 Bohr magnetons per cell. Its formation energy is 260.9 meV/atom.

abc: 8.5919 8.5919 9.8513
angles: 115.85 115.85 90.00
Fractional positions:
Tm 0.0000 0.0000 0.0000
Tm 0.3476 0.8476 0.2763
Pm 0.8824 0.6176 0.0000
Tb 0.7500 0.7500 0.5000
Nd 0.7500 0.2500 0.5000
Tm 0.5713 0.6524 0.7237
Tm 0.1524 0.0713 0.7237
Tm 0.0713 0.5713 0.7237
Tb 0.2500 0.2500 0.5000
Tm 0.4287 0.3476 0.2763
Tm 0.5000 0.5000 0.0000
Pm 0.3824 0.8824 0.0000
Tm 0.6524 0.1524 0.7237
Tm 0.8476 0.9287 0.2763
Tm 0.9287 0.4287 0.2763
Pm 0.6176 0.1176 0.0000
Pm 0.1176 0.3824 0.0000
Nd 0.2500 0.7500 0.5000

---

No. 7
Compound: NiHCl4
Source: Alexandria
Functional: PBE
Structure: optimized geometry

Computed properties:
Its space group is P-1 (2). The calculation puts the uncorrected energy at -38.5 eV for the cell shown. Its size of the total moment is 1.891 Bohr magnetons per cell.

abc: 5.9203 6.0360 8.9068
angles: 68.92 76.90 83.60
Each line ends with the local moment (μB).
Fractional positions:
Ni 0.7740 0.0524 0.4004  0.67
Cl 0.5680 0.7495 0.5938  0.00
Cl 0.6895 0.9031 0.1648  0.07
Cl 0.3105 0.0969 0.8352  0.07
Cl 0.9378 0.3589 0.1986  -0.01
Cl 0.0622 0.6411 0.8014  -0.01
Cl 0.8989 0.1638 0.6031  0.16
Cl 0.4320 0.2505 0.4062  0.00
H 0.7824 0.6834 0.1957  0.00
Cl 0.1011 0.8362 0.3969  0.16
H 0.2176 0.3166 0.8043  0.00
Ni 0.2260 0.9476 0.5996  0.67

---

No. 8
Compound: RbAg2SeBr8
Source: Alexandria
Functional: PBE
Structure: optimized geometry

Computed properties:
Its space group is P-1 (2). The calculation puts the uncorrected energy at -28.4 eV for the cell shown. Its size of the total moment is 0.028 Bohr magnetons per cell.

abc: 6.8772 6.1290 9.9422
angles: 71.34 87.33 90.65
Fractional positions:
Rb 0.0000 0.0000 0.5000
Ag 0.5292 0.5435 0.7974
Br 0.8023 0.1594 0.1748
Br 0.1977 0.8406 0.8252
Se 0.0000 0.0000 0.0000
Br 0.1183 0.6746 0.2242
Br 0.8817 0.3254 0.7758
Ag 0.4708 0.4565 0.2026
Br 0.3220 0.2341 0.0182
Br 0.6780 0.7659 0.9818
Br 0.5024 0.7401 0.5180
Br 0.4976 0.2599 0.4820

---

No. 9
Compound: VAg3Se
Source: Alexandria
Functional: PBE
Structure: optimized geometry

Computed properties:
Its space group is Pm-3m (221). The calculation puts the uncorrected energy at -15.1 eV for the cell shown. Its size of the total moment is 3.777 Bohr magnetons per cell.

abc: 5.0019 5.0019 5.0019
angles: 90.00 90.00 90.00
Each line ends with the local moment (μB).
Fractional positions:
Ag 0.0000 0.5000 0.0000  0.12
V 0.0000 0.0000 0.0000  2.76
Ag 0.5000 0.0000 0.0000  0.12
Ag 0.0000 0.0000 0.5000  0.12
Se 0.5000 0.5000 0.5000  0.07

---

No. 10
Compound: K3Zr3MnS8
Source: Alexandria
Functional: PBE
Structure: optimized geometry

Computed properties:
Its space group is C2/m (12). The calculation puts the uncorrected energy at -91.9 eV for the cell shown. Its size of the total moment is 4.860 Bohr magnetons per cell.

abc: 7.4990 7.5064 8.6654
angles: 115.72 90.00 119.96
Each line ends with the local moment (μB).
Fractional positions:
S 0.2319 0.9595 0.6914  0.03
S 0.2724 0.0405 0.3087  0.03
S 0.7276 0.9595 0.6913  0.03
Mn 0.0000 0.0000 0.5000  4.24
S 0.7679 0.5359 0.3084  0.03
Zr 0.5000 0.5000 0.5000  0.02
S 0.2671 0.5341 0.3009  0.00
Zr 0.0000 0.5000 0.5000  0.02
K 0.0000 0.0000 0.0000  0.00
K 0.5000 0.5000 0.0000  0.00
Zr 0.5000 0.0000 0.5000  0.01
S 0.2321 0.4641 0.6916  0.03
K 0.0000 0.5000 0.0000  0.00
S 0.7681 0.0405 0.3086  0.03
S 0.7329 0.4659 0.6991  0.00

---

No. 11
Compound: Sr3Tc
Source: Alexandria
Functional: PBE
Structure: optimized geometry

Computed properties:
Its space group is P-6m2 (187). Its size of the total moment is 2.390 Bohr magnetons per cell. Its formation energy is 754.8 meV/atom.

abc: 3.9585 3.9585 11.6424
angles: 90.00 90.00 120.00
Each line ends with the local moment (μB).
Fractional positions:
Sr 0.0000 0.0000 0.9374  -0.01
Sr 0.6667 0.3333 0.2500  0.02
Sr 0.0000 0.0000 0.5626  -0.01
Tc 0.6667 0.3333 0.7500  2.06

---

No. 12
Compound: Ac2VN5
Source: Alexandria
Functional: PBE
Structure: optimized geometry

Computed properties:
Its space group is I4mm (107). The calculation puts the uncorrected energy at -60.7 eV for the cell shown. Its size of the total moment is 1.658 Bohr magnetons per cell.

abc: 5.5696 5.5696 5.5696
angles: 95.11 117.09 117.09
Each line ends with the local moment (μB).
Fractional positions:
N 0.0000 0.2085 0.7531  0.32
Ac 0.5000 0.7609 0.2609  0.03
Ac 0.5000 0.2609 0.7609  0.03
V 0.0000 0.0193 0.0193  -0.03
N 0.5446 0.7531 0.7531  0.32
N 0.0000 0.2577 0.2577  -0.07
N 0.0000 0.7531 0.2085  0.32
N 0.4554 0.2085 0.2085  0.32

---

No. 13
Compound: Ce2DyScBi5
Source: Alexandria
Functional: PBE
Structure: optimized geometry

Computed properties:
Its space group is P4/mmm (123). Its size of the total moment is 2.018 Bohr magnetons per cell. Its formation energy is -55.2 meV/atom.

abc: 5.5054 5.5054 11.4824
angles: 90.00 90.00 90.00
Each line ends with the local moment (μB).
Fractional positions:
Ce 0.5000 0.5000 0.7108  0.99
Ce 0.5000 0.5000 0.2892  0.99
Bi 0.0000 0.0000 0.2397  -0.01
Bi 0.0000 0.5000 0.5000  0.00
Dy 0.0000 0.0000 0.5000  -0.01
Bi 0.5000 0.0000 0.5000  0.00
Sc 0.0000 0.0000 0.0000  -0.03
Bi 0.5000 0.5000 0.0000  -0.02
Bi 0.0000 0.0000 0.7603  -0.01

---

No. 14
Compound: LiSi2
Source: Alexandria
Functional: PBE
Structure: optimized geometry

Computed properties:
Its space group is Fmmm (69). The calculation puts the uncorrected energy at -24.8 eV for the cell shown. Its size of the total moment is 0.000 Bohr magnetons per cell.

abc: 6.0570 6.0570 4.2750
angles: 90.00 90.00 144.79
Fractional positions:
Li 0.2501 0.7499 0.2500
Li 0.7499 0.2501 0.7500
Si 0.0741 0.9259 0.7500
Si 0.5742 0.4258 0.2500
Si 0.9259 0.0741 0.2500
Si 0.4258 0.5742 0.7500

---

No. 15
Compound: La2MgAgRu
Source: Alexandria
Functional: PBE
Structure: optimized geometry

Computed properties:
Its space group is P4/mmm (123). Its size of the total moment is 0.000 Bohr magnetons per cell. Its formation energy is -15.3 meV/atom.

abc: 5.2809 5.2809 5.3886
angles: 90.00 90.00 90.00
Fractional positions:
Ag 0.0000 0.0000 0.5000
La 0.0000 0.5000 0.0000
Ru 0.0000 0.0000 0.0000
La 0.5000 0.0000 0.0000
Mg 0.5000 0.5000 0.5000

---

No. 16
Compound: CaTa3Co
Source: Alexandria
Functional: PBE
Structure: optimized geometry

Computed properties:
Its space group is Pm-3m (221). Its size of the total moment is 0.000 Bohr magnetons per cell. Its formation energy is 2896.8 meV/atom.

abc: 4.6455 4.6455 4.6455
angles: 90.00 90.00 90.00
Fractional positions:
Co 0.5000 0.5000 0.5000
Ta 0.0000 0.0000 0.5000
Ta 0.0000 0.5000 0.0000
Ta 0.5000 0.0000 0.0000
Ca 0.0000 0.0000 0.0000

---

No. 17
Compound: LaInFe2
Source: Alexandria
Functional: PBE
Structure: optimized geometry

Computed properties:
Its space group is Imm2 (44). Its size of the total moment is 4.042 Bohr magnetons per cell. Its formation energy is 198.8 meV/atom.

abc: 5.8911 5.8911 5.8911
angles: 147.65 131.97 59.10
Each line ends with the local moment (μB).
Fractional positions:
Fe 0.9509 0.9509 0.0000  2.45
In 0.5245 0.5245 0.0000  -0.05
La 0.2404 0.7404 0.5000  -0.25
Fe 0.7842 0.2842 0.5000  2.06

---

No. 18
Compound: ZrSiMo2
Source: Alexandria
Functional: PBE
Structure: optimized geometry

Computed properties:
Its space group is Imm2 (44). The calculation puts the uncorrected energy at -36.3 eV for the cell shown. Its size of the total moment is 0.000 Bohr magnetons per cell.

abc: 5.2741 5.2741 4.4206
angles: 65.26 65.26 36.87
Fractional positions:
Mo 0.2565 0.2565 0.2437
Si 0.5139 0.5139 0.4860
Zr 0.7423 0.7423 0.7577
Mo 0.9873 0.9873 0.0126